# Li2Ca2Te PBE-GGA relaxed
# Total magnetization ... 0.533 Bohr magnetons per cell
# ρ ... 2.12 g/cm3
# Uncorrected formation energy ... -0.31 eV/atom
# D(E_F) ... 0.574 states/eV per atom
# E ... -2.50 eV per atom
data_Li2Ca2Te
_chemical_formula_sum 'Li4 Ca4 Te2'
_cell_length_a 8.212
_cell_length_b 8.212
_cell_length_c 5.160
_cell_angle_alpha 90.00
_cell_angle_beta 90.00
_cell_angle_gamma 90.00
_space_group_name_H-M_alt 'P 4/m b m'
_space_group_IT_number 127
_space_group_name_Hall '-P 4 2ab'
loop_
_atom_site_label
_atom_site_type_symbol
_atom_site_fract_x
_atom_site_fract_y
_atom_site_fract_z
Li1 Li 0.128 0.372 0.000
Ca1 Ca 0.166 0.666 0.500
Te1 Te 0.000 0.000 0.500

=====

# LiCa4Te PBE-GGA relaxed
# Total magnetization ... 0.018 Bohr magnetons per cell
# ρ ... 2.13 g/cm3
# Uncorrected formation energy ... 0.07 eV/atom
# D(E_F) ... 1.108 states/eV per atom
# E ... -2.11 eV per atom
data_LiCa4Te
_chemical_formula_sum 'Li4 Ca16 Te4'
_cell_length_a 9.722
_cell_length_b 9.722
_cell_length_c 9.722
_cell_angle_alpha 90.00
_cell_angle_beta 90.00
_cell_angle_gamma 90.00
_space_group_name_H-M_alt 'F -4 3 m'
_space_group_IT_number 216
_space_group_name_Hall 'F -4 2 3'
loop_
_atom_site_label
_atom_site_type_symbol
_atom_site_fract_x
_atom_site_fract_y
_atom_site_fract_z
Li1 Li 0.000 0.000 0.000
Ca1 Ca 0.125 0.125 0.375
Te1 Te 0.250 0.250 0.750

=====

# LiCaTe3 PBE-GGA relaxed
# Total magnetization ... 0.000 Bohr magnetons per cell
# ρ ... 3.53 g/cm3
# Uncorrected formation energy ... -0.21 eV/atom
# D(E_F) ... 1.450 states/eV per atom
# E ... -2.88 eV per atom
data_LiCaTe3
_chemical_formula_sum 'Li1 Ca1 Te3'
_cell_length_a 5.870
_cell_length_b 5.870
_cell_length_c 5.870
_cell_angle_alpha 90.00
_cell_angle_beta 90.00
_cell_angle_gamma 90.00
_space_group_name_H-M_alt 'P m -3 m'
_space_group_IT_number 221
_space_group_name_Hall '-P 4 2 3'
loop_
_atom_site_label
_atom_site_type_symbol
_atom_site_fract_x
_atom_site_fract_y
_atom_site_fract_z
Li1 Li 0.000 0.000 0.000
Ca1 Ca 0.500 0.500 0.500
Te1 Te 0.000 0.500 0.500

=====

# LiCa2ThTe4 PBE-GGA relaxed
# Total magnetization ... 0.000 Bohr magnetons per cell
# ρ ... 5.50 g/cm3
# Uncorrected formation energy ... -1.34 eV/atom
# D(E_F) ... 0.323 states/eV per atom
# E ... -4.58 eV per atom
data_LiCa2ThTe4
_chemical_formula_sum 'Li1 Ca2 Th1 Te4'
_cell_length_a 7.732
_cell_length_b 4.414
_cell_length_c 7.747
_cell_angle_alpha 90.00
_cell_angle_beta 108.73
_cell_angle_gamma 90.00
_space_group_name_H-M_alt 'P 1 2/m 1'
_space_group_IT_number 10
loop_
_space_group_symop_operation_xyz
'x,y,z'
'-x,-y,-z'
'-x,y,-z'
'x,-y,z'
loop_
_atom_site_label
_atom_site_type_symbol
_atom_site_fract_x
_atom_site_fract_y
_atom_site_fract_z
Li1 Li 0.000 0.000 0.000
Ca1 Ca 0.000 0.500 0.500
Ca2 Ca 0.500 0.000 0.500
Th1 Th 0.500 0.500 0.000
Te1 Te 0.243 0.000 0.752
Te2 Te 0.244 0.500 0.241

=====

# Li2CaThTe4 PBE-GGA relaxed
# Total magnetization ... 0.000 Bohr magnetons per cell
# ρ ... 5.45 g/cm3
# Uncorrected formation energy ... -1.23 eV/atom
# E ... -4.46 eV per atom
data_Li2CaThTe4
_chemical_formula_sum 'Li2 Ca1 Th1 Te4'
_cell_length_a 7.476
_cell_length_b 4.488
_cell_length_c 7.669
_cell_angle_alpha 90.00
_cell_angle_beta 109.40
_cell_angle_gamma 90.00
_space_group_name_H-M_alt 'P 1 2/m 1'
_space_group_IT_number 10
loop_
_space_group_symop_operation_xyz
'x,y,z'
'-x,-y,-z'
'-x,y,-z'
'x,-y,z'
loop_
_atom_site_label
_atom_site_type_symbol
_atom_site_fract_x
_atom_site_fract_y
_atom_site_fract_z
Li1 Li 0.000 0.000 0.000
Li2 Li 0.000 0.500 0.500
Ca1 Ca 0.500 0.000 0.500
Th1 Th 0.500 0.500 0.000
Te1 Te 0.239 0.000 0.752
Te2 Te 0.242 0.500 0.244

=====

# LiCa4Tm3Te8 PBE-GGA relaxed
# Total magnetization ... 0.000 Bohr magnetons per cell
# ρ ... 5.85 g/cm3
# Uncorrected formation energy ... -1.43 eV/atom
# D(E_F) ... 0.243 states/eV per atom
# E ... -4.46 eV per atom
data_LiCa4Tm3Te8
_chemical_formula_sum 'Li3 Ca12 Tm9 Te24'
_cell_length_a 8.7770
_cell_length_b 8.7770
_cell_length_c 21.6397
_cell_angle_alpha 90.00
_cell_angle_beta 90.00
_cell_angle_gamma 120.00
_space_group_name_H-M_alt 'R -3 m'
_space_group_IT_number 166
_space_group_name_Hall '-R 3 2"'
loop_
_atom_site_label
_atom_site_type_symbol
_atom_site_fract_x
_atom_site_fract_y
_atom_site_fract_z
Li1 Li 0.0000 0.0000 0.0000
Ca1 Ca 0.0000 0.0000 0.5000
Ca2 Ca 0.0000 0.5000 0.5000
Tm1 Tm 0.0000 0.5000 0.0000
Te1 Te 0.0000 0.0000 0.2532
Te2 Te 0.0018 0.5009 0.7457